Entry one
Computed, not measured: crystalline In3SnCl at its relaxed geometry at the GGA-PBE level of DFT.

Summary:
- space-group type = No. 221
- V (Å³/f.u.) = 172

abc: 5.5628 5.5628 5.5628
angles: 90.00 90.00 90.00
Sites, in units of the cell vectors:
Cl  0.0000  0.0000  0.0000
Sn  0.5000  0.5000  0.5000
In  0.0000  0.5000  0.0000
In  0.0000  0.0000  0.5000
In  0.5000  0.0000  0.0000

=====

Entry two
Computed, not measured: crystalline In3SnCl at its relaxed geometry at the GGA-PBE level of DFT.

Summary:
- space-group type = No. 221
- V (Å³/f.u.) = 205

abc: 5.9004 5.9004 5.9004
angles: 90.00 90.00 90.00
Sites, in units of the cell vectors:
Cl  0.5000  0.5000  0.5000
Sn  0.0000  0.0000  0.0000
In  0.0000  0.5000  0.0000
In  0.0000  0.0000  0.5000
In  0.5000  0.0000  0.0000

=====

Verdict on stability: entry two comes out on top.

=====

Entry one
Computed, not measured: crystalline InSn3Cl at its relaxed geometry at the GGA-PBE level of DFT.

Summary:
- space-group type = No. 221
- V (Å³/f.u.) = 187

abc: 5.7230 5.7230 5.7230
angles: 90.00 90.00 90.00
Sites, in units of the cell vectors:
Cl  0.5000  0.5000  0.5000
Sn  0.0000  0.5000  0.0000
Sn  0.0000  0.0000  0.5000
Sn  0.5000  0.0000  0.0000
In  0.0000  0.0000  0.0000

=====

Entry two
Computed, not measured: crystalline InSn3Cl at its relaxed geometry at the GGA-PBE level of DFT.

Summary:
- space-group type = No. 221
- V (Å³/f.u.) = 162

abc: 5.4483 5.4483 5.4483
angles: 90.00 90.00 90.00
Sites, in units of the cell vectors:
Cl  0.0000  0.0000  0.0000
Sn  0.0000  0.5000  0.0000
Sn  0.0000  0.0000  0.5000
Sn  0.5000  0.0000  0.0000
In  0.5000  0.5000  0.5000

=====

Verdict on stability: entry two comes out on top.

=====

Entry one
Computed, not measured: crystalline In2Sn2Cl at its relaxed geometry at the GGA-PBE level of DFT.

Summary:
- space-group type = No. 139
- V (Å³/f.u.) = 144

abc: 4.3728 4.3728 8.1212
angles: 74.38 74.38 90.00
Sites, in units of the cell vectors:
Cl  0.0000  0.0000  0.0000
Sn  0.3986  0.3986  0.2028
Sn  0.6014  0.6014  0.7972
In  0.7500  0.2500  0.5000
In  0.2500  0.7500  0.5000

=====

Entry two
Computed, not measured: crystalline In2Sn2Cl at its relaxed geometry at the GGA-PBE level of DFT.

Summary:
- space-group type = No. 127
- V (Å³/f.u.) = 143

abc: 8.1360 8.1360 4.3262
angles: 90.00 90.00 90.00
Sites, in units of the cell vectors:
Cl  0.0000  0.0000  0.0000
Cl  0.5000  0.5000  0.0000
Sn  0.3644  0.8644  0.0000
Sn  0.8644  0.6356  0.0000
Sn  0.6356  0.1356  0.0000
Sn  0.1356  0.3644  0.0000
In  0.1670  0.6670  0.5000
In  0.6670  0.8330  0.5000
In  0.8330  0.3330  0.5000
In  0.3330  0.1670  0.5000

=====

Entry three
Computed, not measured: crystalline In2Sn2Cl at its relaxed geometry at the GGA-PBE level of DFT.

Summary:
- space-group type = No. 127
- V (Å³/f.u.) = 140

abc: 8.8969 8.8969 3.5368
angles: 90.00 90.00 90.00
Sites, in units of the cell vectors:
Cl  0.0000  0.0000  0.0000
Cl  0.5000  0.5000  0.0000
Sn  0.1298  0.6298  0.5000
Sn  0.6298  0.8702  0.5000
Sn  0.8702  0.3702  0.5000
Sn  0.3702  0.1298  0.5000
In  0.3288  0.8288  0.0000
In  0.8288  0.6712  0.0000
In  0.6712  0.1712  0.0000
In  0.1712  0.3288  0.0000

=====

Entry four
Computed, not measured: crystalline In2Sn2Cl at its relaxed geometry at the GGA-PBE level of DFT.

Summary:
- space-group type = No. 139
- V (Å³/f.u.) = 146

abc: 4.3457 4.3457 8.3017
angles: 74.83 74.83 90.00
Sites, in units of the cell vectors:
Cl  0.0000  0.0000  0.0000
Sn  0.7500  0.2500  0.5000
Sn  0.2500  0.7500  0.5000
In  0.4065  0.4065  0.1869
In  0.5935  0.5935  0.8131

=====

Verdict on stability: entry four comes out on top.